Here is La2OsW after structural relaxation from the Alexandria database. Energies are from PBEsol.

Output
ΔE_f: 3.25 eV/f.u.
electronic total energy: -33.465 eV per cell
V: 20.25 Å³ per atom
M_tot: 0.000 μB per atom

Geometry as POSCAR:
```
La2OsW
1.0
-2.370 -1.391 1.213
4.245 -1.637 2.698
-0.937 4.272 3.070
La Os W
2 1 1
Direct
0.254 0.508 0.260 La
0.746 0.492 0.740 La
0.500 0.000 0.500 Os
0.000 0.000 0.000 W
```